i | Entry from Alexandria via LeMat-Bulk: a geometry-optimized Ca2CoTc2 structure (PBE-GGA).

Structure (CIF):
```
data_Ca2CoTc2
_chemical_formula_sum 'Ca4 Co2 Tc4'
_symmetry_space_group_name_H-M 'P 4/m b m'
_symmetry_Int_Tables_number 127
_symmetry_space_group_name_Hall '-P 4 2ab'
_cell_length_a 8.674
_cell_length_b 8.674
_cell_length_c 2.917
_cell_angle_alpha 90.00
_cell_angle_beta 90.00
_cell_angle_gamma 90.00
loop_
_atom_site_label
_atom_site_type_symbol
_atom_site_fract_x
_atom_site_fract_y
_atom_site_fract_z
Ca1 Ca 0.198 0.302 0.000
Co1 Co 0.000 0.000 0.000
Tc1 Tc 0.089 0.589 0.500
```

---

ii | Entry from Alexandria via LeMat-Bulk: a geometry-optimized Ca2CoTc2 structure (PBE-GGA).

Structure (CIF):
```
data_Ca2CoTc2
_chemical_formula_sum 'Ca4 Co2 Tc4'
_symmetry_space_group_name_H-M 'I 4/m m m'
_symmetry_Int_Tables_number 139
_symmetry_space_group_name_Hall '-I 4 2'
_cell_length_a 3.471
_cell_length_b 3.471
_cell_length_c 18.143
_cell_angle_alpha 90.00
_cell_angle_beta 90.00
_cell_angle_gamma 90.00
loop_
_atom_site_label
_atom_site_type_symbol
_atom_site_fract_x
_atom_site_fract_y
_atom_site_fract_z
Ca1 Ca 0.000 0.000 0.098
Co1 Co 0.000 0.000 0.500
Tc1 Tc 0.000 0.500 0.250
```

---

Which of them is the least stable? Correct choice: i.

---

i | Entry from Alexandria via LeMat-Bulk: a geometry-optimized CaCoTe3 structure (PBE-GGA).

Structure (CIF):
```
data_CaCoTe3
_chemical_formula_sum 'Ca1 Co1 Te3'
_symmetry_space_group_name_H-M 'P m -3 m'
_symmetry_Int_Tables_number 221
_symmetry_space_group_name_Hall '-P 4 2 3'
_cell_length_a 5.151
_cell_length_b 5.151
_cell_length_c 5.151
_cell_angle_alpha 90.00
_cell_angle_beta 90.00
_cell_angle_gamma 90.00
loop_
_atom_site_label
_atom_site_type_symbol
_atom_site_fract_x
_atom_site_fract_y
_atom_site_fract_z
Ca1 Ca 0.000 0.000 0.000
Co1 Co 0.500 0.500 0.500
Te1 Te 0.000 0.500 0.500
```

---

ii | Entry from Alexandria via LeMat-Bulk: a geometry-optimized CaCoTe3 structure (PBE-GGA).

Structure (CIF):
```
data_CaCoTe3
_chemical_formula_sum 'Ca1 Co1 Te3'
_symmetry_space_group_name_H-M 'P m -3 m'
_symmetry_Int_Tables_number 221
_symmetry_space_group_name_Hall '-P 4 2 3'
_cell_length_a 5.779
_cell_length_b 5.779
_cell_length_c 5.779
_cell_angle_alpha 90.00
_cell_angle_beta 90.00
_cell_angle_gamma 90.00
loop_
_atom_site_label
_atom_site_type_symbol
_atom_site_fract_x
_atom_site_fract_y
_atom_site_fract_z
Ca1 Ca 0.000 0.000 0.000
Co1 Co 0.500 0.500 0.500
Te1 Te 0.000 0.000 0.500
```

---

Which of them is the least stable? Correct choice: ii.

---

i | Entry from Alexandria via LeMat-Bulk: a geometry-optimized CaTi2Co structure (PBE-GGA).

Structure (CIF):
```
data_CaTi2Co
_chemical_formula_sum 'Ca4 Ti8 Co4'
_symmetry_space_group_name_H-M 'F m -3 m'
_symmetry_Int_Tables_number 225
_symmetry_space_group_name_Hall '-F 4 2 3'
_cell_length_a 6.469
_cell_length_b 6.469
_cell_length_c 6.469
_cell_angle_alpha 90.00
_cell_angle_beta 90.00
_cell_angle_gamma 90.00
loop_
_atom_site_label
_atom_site_type_symbol
_atom_site_fract_x
_atom_site_fract_y
_atom_site_fract_z
Ca1 Ca 0.000 0.000 0.000
Ti1 Ti 0.250 0.250 0.250
Co1 Co 0.000 0.000 0.500
```

---

ii | Entry from Alexandria via LeMat-Bulk: a geometry-optimized CaTi2Co structure (PBE-GGA).

Structure (CIF):
```
data_CaTi2Co
_chemical_formula_sum 'Ca4 Ti8 Co4'
_symmetry_space_group_name_H-M 'I -4 2 d'
_symmetry_Int_Tables_number 122
_symmetry_space_group_name_Hall 'I -4 2bw'
_cell_length_a 7.371
_cell_length_b 7.371
_cell_length_c 5.766
_cell_angle_alpha 90.00
_cell_angle_beta 90.00
_cell_angle_gamma 90.00
loop_
_atom_site_label
_atom_site_type_symbol
_atom_site_fract_x
_atom_site_fract_y
_atom_site_fract_z
Ca1 Ca 0.000 0.000 0.000
Ti1 Ti 0.173 0.750 0.625
Co1 Co 0.000 0.000 0.500
```

---

Which of them is the least stable? Correct choice: i.

---

i | Entry from Alexandria via LeMat-Bulk: a geometry-optimized Ca3TiCo structure (PBE-GGA).

Structure (CIF):
```
data_Ca3TiCo
_chemical_formula_sum 'Ca3 Ti1 Co1'
_symmetry_space_group_name_H-M 'P m -3 m'
_symmetry_Int_Tables_number 221
_symmetry_space_group_name_Hall '-P 4 2 3'
_cell_length_a 5.699
_cell_length_b 5.699
_cell_length_c 5.699
_cell_angle_alpha 90.00
_cell_angle_beta 90.00
_cell_angle_gamma 90.00
loop_
_atom_site_label
_atom_site_type_symbol
_atom_site_fract_x
_atom_site_fract_y
_atom_site_fract_z
Ca1 Ca 0.000 0.000 0.500
Ti1 Ti 0.000 0.000 0.000
Co1 Co 0.500 0.500 0.500
```

---

ii | Entry from Alexandria via LeMat-Bulk: a geometry-optimized Ca3TiCo structure (PBE-GGA).

Structure (CIF):
```
data_Ca3TiCo
_chemical_formula_sum 'Ca3 Ti1 Co1'
_symmetry_space_group_name_H-M 'P m -3 m'
_symmetry_Int_Tables_number 221
_symmetry_space_group_name_Hall '-P 4 2 3'
_cell_length_a 5.306
_cell_length_b 5.306
_cell_length_c 5.306
_cell_angle_alpha 90.00
_cell_angle_beta 90.00
_cell_angle_gamma 90.00
loop_
_atom_site_label
_atom_site_type_symbol
_atom_site_fract_x
_atom_site_fract_y
_atom_site_fract_z
Ca1 Ca 0.000 0.000 0.500
Ti1 Ti 0.500 0.500 0.500
Co1 Co 0.000 0.000 0.000
```

---

Which of them is the least stable? Correct choice: i.

---

i | Entry from Alexandria via LeMat-Bulk: a geometry-optimized CaTi2Co2 structure (PBE-GGA).

Structure (CIF):
```
data_CaTi2Co2
_chemical_formula_sum 'Ca2 Ti4 Co4'
_symmetry_space_group_name_H-M 'I 4/m m m'
_symmetry_Int_Tables_number 139
_symmetry_space_group_name_Hall '-I 4 2'
_cell_length_a 4.300
_cell_length_b 4.300
_cell_length_c 9.948
_cell_angle_alpha 90.00
_cell_angle_beta 90.00
_cell_angle_gamma 90.00
loop_
_atom_site_label
_atom_site_type_symbol
_atom_site_fract_x
_atom_site_fract_y
_atom_site_fract_z
Ca1 Ca 0.000 0.000 0.000
Ti1 Ti 0.000 0.000 0.349
Co1 Co 0.000 0.500 0.250
```

---

ii | Entry from Alexandria via LeMat-Bulk: a geometry-optimized CaTi2Co2 structure (PBE-GGA).

Structure (CIF):
```
data_CaTi2Co2
_chemical_formula_sum 'Ca2 Ti4 Co4'
_symmetry_space_group_name_H-M 'I 4/m m m'
_symmetry_Int_Tables_number 139
_symmetry_space_group_name_Hall '-I 4 2'
_cell_length_a 4.111
_cell_length_b 4.111
_cell_length_c 10.240
_cell_angle_alpha 90.00
_cell_angle_beta 90.00
_cell_angle_gamma 90.00
loop_
_atom_site_label
_atom_site_type_symbol
_atom_site_fract_x
_atom_site_fract_y
_atom_site_fract_z
Ca1 Ca 0.000 0.000 0.000
Ti1 Ti 0.000 0.500 0.250
Co1 Co 0.000 0.000 0.383
```

---

Which of them is the least stable? Correct choice: i.

---

i | Entry from Alexandria via LeMat-Bulk: a geometry-optimized Ca2TiCo structure (PBE-GGA).

Structure (CIF):
```
data_Ca2TiCo
_chemical_formula_sum 'Ca8 Ti4 Co4'
_symmetry_space_group_name_H-M 'F m -3 m'
_symmetry_Int_Tables_number 225
_symmetry_space_group_name_Hall '-F 4 2 3'
_cell_length_a 7.159
_cell_length_b 7.159
_cell_length_c 7.159
_cell_angle_alpha 90.00
_cell_angle_beta 90.00
_cell_angle_gamma 90.00
loop_
_atom_site_label
_atom_site_type_symbol
_atom_site_fract_x
_atom_site_fract_y
_atom_site_fract_z
Ca1 Ca 0.250 0.250 0.250
Ti1 Ti 0.000 0.000 0.000
Co1 Co 0.000 0.000 0.500
```

---

ii | Entry from Alexandria via LeMat-Bulk: a geometry-optimized Ca2TiCo structure (PBE-GGA).

Structure (CIF):
```
data_Ca2TiCo
_chemical_formula_sum 'Ca8 Ti4 Co4'
_symmetry_space_group_name_H-M 'I -4 2 d'
_symmetry_Int_Tables_number 122
_symmetry_space_group_name_Hall 'I -4 2bw'
_cell_length_a 10.733
_cell_length_b 10.733
_cell_length_c 4.275
_cell_angle_alpha 90.00
_cell_angle_beta 90.00
_cell_angle_gamma 90.00
loop_
_atom_site_label
_atom_site_type_symbol
_atom_site_fract_x
_atom_site_fract_y
_atom_site_fract_z
Ca1 Ca 0.085 0.250 0.125
Ti1 Ti 0.000 0.000 0.500
Co1 Co 0.000 0.000 0.000
```

---

Which of them is the least stable? Correct choice: i.

---

i | Entry from Alexandria via LeMat-Bulk: a geometry-optimized CaTl2Co2 structure (PBE-GGA).

Structure (CIF):
```
data_CaTl2Co2
_chemical_formula_sum 'Ca2 Tl4 Co4'
_symmetry_space_group_name_H-M 'I 4/m m m'
_symmetry_Int_Tables_number 139
_symmetry_space_group_name_Hall '-I 4 2'
_cell_length_a 4.665
_cell_length_b 4.665
_cell_length_c 9.809
_cell_angle_alpha 90.00
_cell_angle_beta 90.00
_cell_angle_gamma 90.00
loop_
_atom_site_label
_atom_site_type_symbol
_atom_site_fract_x
_atom_site_fract_y
_atom_site_fract_z
Ca1 Ca 0.000 0.000 0.000
Tl1 Tl 0.000 0.500 0.250
Co1 Co 0.000 0.000 0.391
```

---

ii | Entry from Alexandria via LeMat-Bulk: a geometry-optimized CaTl2Co2 structure (PBE-GGA).

Structure (CIF):
```
data_CaTl2Co2
_chemical_formula_sum 'Ca2 Tl4 Co4'
_symmetry_space_group_name_H-M 'I 4/m m m'
_symmetry_Int_Tables_number 139
_symmetry_space_group_name_Hall '-I 4 2'
_cell_length_a 3.426
_cell_length_b 3.426
_cell_length_c 18.087
_cell_angle_alpha 90.00
_cell_angle_beta 90.00
_cell_angle_gamma 90.00
loop_
_atom_site_label
_atom_site_type_symbol
_atom_site_fract_x
_atom_site_fract_y
_atom_site_fract_z
Ca1 Ca 0.000 0.000 0.000
Tl1 Tl 0.000 0.000 0.372
Co1 Co 0.000 0.500 0.250
```

---

Which of them is the least stable? Correct choice: i.

---

i | Entry from Alexandria via LeMat-Bulk: a geometry-optimized CaY2TlCo structure (PBE-GGA).

Structure (CIF):
```
data_CaY2TlCo
_chemical_formula_sum 'Ca1 Y2 Tl1 Co1'
_symmetry_space_group_name_H-M 'P 4/m m m'
_symmetry_Int_Tables_number 123
_symmetry_space_group_name_Hall '-P 4 2'
_cell_length_a 5.178
_cell_length_b 5.178
_cell_length_c 5.197
_cell_angle_alpha 90.00
_cell_angle_beta 90.00
_cell_angle_gamma 90.00
loop_
_atom_site_label
_atom_site_type_symbol
_atom_site_fract_x
_atom_site_fract_y
_atom_site_fract_z
Ca1 Ca 0.000 0.000 0.000
Y1 Y 0.000 0.500 0.500
Tl1 Tl 0.500 0.500 0.000
Co1 Co 0.500 0.500 0.500
```

---

ii | Entry from Alexandria via LeMat-Bulk: a geometry-optimized CaY2TlCo structure (PBE-GGA).

Structure (CIF):
```
data_CaY2TlCo
_chemical_formula_sum 'Ca1 Y2 Tl1 Co1'
_symmetry_space_group_name_H-M 'P 4/m m m'
_symmetry_Int_Tables_number 123
_symmetry_space_group_name_Hall '-P 4 2'
_cell_length_a 5.145
_cell_length_b 5.145
_cell_length_c 5.387
_cell_angle_alpha 90.00
_cell_angle_beta 90.00
_cell_angle_gamma 90.00
loop_
_atom_site_label
_atom_site_type_symbol
_atom_site_fract_x
_atom_site_fract_y
_atom_site_fract_z
Ca1 Ca 0.000 0.000 0.000
Y1 Y 0.000 0.500 0.500
Tl1 Tl 0.500 0.500 0.000
Co1 Co 0.000 0.000 0.500
```

---

Which of them is the least stable? Correct choice: ii.